Entry 1:
Here is a relaxed TaAu2O crystal from Alexandria via LeMat-Bulk. Energies are from GGA-PBEsol.

Output
Final energy   -6.0218 eV/atom
Magnetization   0.0 μB/f.u.

Cell lengths 4.422, 4.422, 4.422 Å; angles 60.00, 60.00, 60.00 degrees
Atoms (fractional coordinates):
Au 0.250 0.250 0.250
Au 0.750 0.750 0.750
O 0.000 0.000 0.000
Ta 0.500 0.500 0.500

Entry 2:
Here is a relaxed TcAu3O crystal from Alexandria via LeMat-Bulk. Energies are from GGA-PBEsol.

Output
Final energy   -3.7630 eV/atom
Magnetization   1.6 μB/f.u.

Cell lengths 4.897, 4.897, 4.897 Å; angles 90.00, 90.00, 90.00 degrees
Atoms (fractional coordinates):
Au 0.000 0.500 0.000
Au 0.000 0.000 0.500
Au 0.500 0.000 0.000
Tc 0.000 0.000 0.000
O 0.500 0.500 0.500

Entry 3:
Here is a relaxed Te2AuO crystal from Alexandria via LeMat-Bulk. Energies are from GGA-PBEsol.

Output
Final energy   -3.8797 eV/atom
Magnetization   0.0 μB/f.u.

Cell lengths 3.125, 3.125, 9.219 Å; angles 80.24, 80.24, 60.00 degrees
Atoms (fractional coordinates):
Te 0.899 0.899 0.302
Te 0.101 0.101 0.698
Au 0.000 0.000 0.000
O 0.500 0.500 0.500

Entry 4:
Here is a relaxed TeAuO3 crystal from Alexandria via LeMat-Bulk. Energies are from GGA-PBEsol.

Output
Final energy   -4.3372 eV/atom
Magnetization   0.0 μB/f.u.

Cell lengths 4.069, 4.069, 4.069 Å; angles 90.00, 90.00, 90.00 degrees
Atoms (fractional coordinates):
Te 0.500 0.500 0.500
Au 0.000 0.000 0.000
O 0.000 0.500 0.000
O 0.000 0.000 0.500
O 0.500 0.000 0.000

Entry 5:
Here is a relaxed TeAuO3 crystal from Alexandria via LeMat-Bulk. Energies are from GGA-PBEsol.

Output
Final energy   -4.8240 eV/atom
Magnetization   0.0 μB/f.u.

Cell lengths 4.030, 4.030, 4.030 Å; angles 90.00, 90.00, 90.00 degrees
Atoms (fractional coordinates):
Te 0.000 0.000 0.000
Au 0.500 0.500 0.500
O 0.000 0.500 0.000
O 0.000 0.000 0.500
O 0.500 0.000 0.000

Entry 6:
Here is a relaxed Ti3AuO crystal from Alexandria via LeMat-Bulk. Energies are from GGA-PBEsol.

Output
Final energy   -8.2034 eV/atom
Magnetization   0.8 μB/f.u.

Cell lengths 4.082, 4.082, 4.082 Å; angles 90.00, 90.00, 90.00 degrees
Atoms (fractional coordinates):
Au 0.500 0.500 0.500
O 0.000 0.000 0.000
Ti 0.000 0.500 0.000
Ti 0.000 0.000 0.500
Ti 0.500 0.000 0.000

Entry 7:
Here is a relaxed TlAuO2 crystal from Alexandria via LeMat-Bulk. Energies are from GGA-PBEsol.

Output
Final energy   -4.6654 eV/atom
Magnetization   0.0 μB/f.u.

Cell lengths 3.464, 3.464, 12.488 Å; angles 90.00, 90.00, 120.00 degrees
Atoms (fractional coordinates):
Tl 0.000 0.000 0.500
Tl 0.000 0.000 0.000
Au 0.667 0.333 0.750
Au 0.333 0.667 0.250
O 0.667 0.333 0.911
O 0.333 0.667 0.411
O 0.667 0.333 0.589
O 0.333 0.667 0.089

Entry 8:
Here is a relaxed TlAuO2 crystal from Alexandria via LeMat-Bulk. Energies are from GGA-PBEsol.

Output
Final energy   -4.6656 eV/atom
Magnetization   0.0 μB/f.u.

Cell lengths 3.463, 3.463, 6.557 Å; angles 74.69, 74.69, 60.00 degrees
Atoms (fractional coordinates):
Tl 0.500 0.500 0.500
Au 0.000 0.000 0.000
O 0.893 0.893 0.321
O 0.107 0.107 0.679

Entry 9:
Here is a relaxed ZnAuO3 crystal from Alexandria via LeMat-Bulk. Energies are from GGA-PBEsol.

Output
Final energy   -3.9725 eV/atom
Magnetization   0.0 μB/f.u.

Cell lengths 3.953, 3.953, 3.953 Å; angles 90.00, 90.00, 90.00 degrees
Atoms (fractional coordinates):
Zn 0.500 0.500 0.500
Au 0.000 0.000 0.000
O 0.000 0.500 0.000
O 0.000 0.000 0.500
O 0.500 0.000 0.000

Entry 10:
Here is a relaxed Os3Au crystal from Alexandria via LeMat-Bulk. Energies are from GGA-PBEsol.

Output
ΔE_f   2.2 eV/f.u.
Energy relative to the lowest polymorph listed for this composition   0.40 eV per formula unit
Magnetization   0.0 μB/f.u.

Cell lengths 2.758, 4.725, 4.725 Å; angles 109.50, 90.00, 90.00 degrees
Atoms (fractional coordinates):
Au 0.000 0.000 0.000
Os 0.500 0.000 0.500
Os 0.500 0.500 0.000
Os 0.000 0.500 0.500

Entry 11:
Here is a relaxed Os3Au crystal from Alexandria via LeMat-Bulk. Energies are from GGA-PBEsol.

Output
ΔE_f   1.8 eV/f.u.
Energy relative to the lowest polymorph listed for this composition   0.00 eV per formula unit
Magnetization   0.0 μB/f.u.

Cell lengths 2.741, 3.862, 5.515 Å; angles 90.00, 90.00, 90.00 degrees
Atoms (fractional coordinates):
Au 0.000 0.000 0.000
Os 0.500 0.500 0.734
Os 0.000 0.000 0.500
Os 0.500 0.500 0.266

Entry 12:
Here is a relaxed OsAu5 crystal from Alexandria via LeMat-Bulk. Energies are from GGA-PBEsol.

Output
ΔE_f   5.6 eV/f.u.
Magnetization   2.7 μB/f.u.

Cell lengths 4.748, 5.215, 5.215 Å; angles 120.00, 90.00, 90.00 degrees
Atoms (fractional coordinates):
Au 0.500 0.000 0.500
Au 0.000 0.667 0.333
Au 0.500 0.500 0.500
Au 0.500 0.500 0.000
Au 0.000 0.333 0.667
Os 0.000 0.000 0.000

Entry 13:
Here is a relaxed Os2Au crystal from Alexandria via LeMat-Bulk. Energies are from GGA-PBEsol.

Output
ΔE_f   2.3 eV/f.u.
Energy relative to the lowest polymorph listed for this composition   1.21 eV per formula unit
Magnetization   0.0 μB/f.u.

Cell lengths 2.736, 4.394, 4.394 Å; angles 120.00, 90.00, 90.00 degrees
Atoms (fractional coordinates):
Au 0.000 0.000 0.000
Os 0.500 0.667 0.333
Os 0.500 0.333 0.667

Entry 14:
Here is a relaxed Os3Au crystal from Alexandria via LeMat-Bulk. Energies are from GGA-PBEsol.

Output
ΔE_f   2.9 eV/f.u.
Energy relative to the lowest polymorph listed for this composition   1.09 eV per formula unit
Magnetization   0.7 μB/f.u.

Cell lengths 2.698, 2.698, 9.521 Å; angles 90.00, 90.00, 119.36 degrees
Atoms (fractional coordinates):
Au 0.000 0.000 0.000
Os 0.000 0.000 0.500
Os 0.500 0.500 0.263
Os 0.500 0.500 0.737

Entry 15:
Here is a relaxed Os2Au crystal from Alexandria via LeMat-Bulk. Energies are from GGA-PBEsol.

Output
ΔE_f   1.0 eV/f.u.
Energy relative to the lowest polymorph listed for this composition   0.00 eV per formula unit
Magnetization   0.0 μB/f.u.

Cell lengths 2.782, 2.782, 6.150 Å; angles 103.07, 103.07, 90.00 degrees
Atoms (fractional coordinates):
Au 0.000 0.000 0.000
Os 0.321 0.321 0.641
Os 0.679 0.679 0.359

Entry 16:
Here is a relaxed OsAu2 crystal from Alexandria via LeMat-Bulk. Energies are from GGA-PBEsol.

Output
ΔE_f   2.3 eV/f.u.
Energy relative to the lowest polymorph listed for this composition   0.00 eV per formula unit
Magnetization   0.5 μB/f.u.

Cell lengths 2.629, 4.602, 4.602 Å; angles 120.00, 90.00, 90.00 degrees
Atoms (fractional coordinates):
Au 0.590 0.667 0.333
Au 0.410 0.333 0.667
Os 0.000 0.000 0.000

Entry 17:
Here is a relaxed OsAu2 crystal from Alexandria via LeMat-Bulk. Energies are from GGA-PBEsol.

Output
ΔE_f   2.7 eV/f.u.
Energy relative to the lowest polymorph listed for this composition   0.41 eV per formula unit
Magnetization   1.0 μB/f.u.

Cell lengths 4.521, 4.521, 5.502 Å; angles 90.00, 90.00, 120.00 degrees
Atoms (fractional coordinates):
Au 0.000 0.000 0.000
Au 0.000 0.000 0.500
Au 0.667 0.333 0.750
Au 0.333 0.667 0.250
Os 0.667 0.333 0.250
Os 0.333 0.667 0.750

Entry 18:
Here is a relaxed POs3Au crystal from Alexandria via LeMat-Bulk. Energies are from GGA-PBEsol.

Output
ΔE_f   5.5 eV/f.u.
Magnetization   1.7 μB/f.u.

Cell lengths 4.323, 4.323, 4.323 Å; angles 90.00, 90.00, 90.00 degrees
Atoms (fractional coordinates):
Os 0.000 0.500 0.000
Os 0.000 0.000 0.500
Os 0.500 0.000 0.000
Au 0.500 0.500 0.500
P 0.000 0.000 0.000

Entry 19:
Here is a relaxed POs2Au crystal from Alexandria via LeMat-Bulk. Energies are from GGA-PBEsol.

Output
ΔE_f   1.8 eV/f.u.
Magnetization   0.0 μB/f.u.

Cell lengths 2.807, 4.780, 4.876 Å; angles 105.08, 106.73, 90.00 degrees
Atoms (fractional coordinates):
Au 0.245 0.748 0.490
Os 0.013 0.069 0.027
Os 0.761 0.245 0.521
P 0.481 0.438 0.962

Entry 20:
Here is a relaxed POsAu2 crystal from Alexandria via LeMat-Bulk. Energies are from GGA-PBEsol.

Output
ΔE_f   2.5 eV/f.u.
Magnetization   0.0 μB/f.u.

Cell lengths 4.299, 4.498, 4.299 Å; angles 61.45, 90.00, 118.55 degrees
Atoms (fractional coordinates):
Au 0.000 0.000 0.000
Au 0.250 0.500 0.250
Os 0.500 0.000 0.500
P 0.750 0.500 0.750

Entry 21:
Here is a relaxed POsAu3 crystal from Alexandria via LeMat-Bulk. Energies are from GGA-PBEsol.

Output
ΔE_f   6.2 eV/f.u.
Energy relative to the lowest polymorph listed for this composition   0.00 eV per formula unit
Magnetization   1.8 μB/f.u.

Cell lengths 4.524, 4.524, 4.524 Å; angles 90.00, 90.00, 90.00 degrees
Atoms (fractional coordinates):
Os 0.500 0.500 0.500
Au 0.000 0.500 0.000
Au 0.000 0.000 0.500
Au 0.500 0.000 0.000
P 0.000 0.000 0.000

Entry 22:
Here is a relaxed P2OsAu crystal from Alexandria via LeMat-Bulk. Energies are from GGA-PBEsol.

Output
ΔE_f   1.8 eV/f.u.
Energy relative to the lowest polymorph listed for this composition   1.42 eV per formula unit
Magnetization   0.0 μB/f.u.

Cell lengths 2.590, 4.992, 4.992 Å; angles 109.00, 90.00, 90.00 degrees
Atoms (fractional coordinates):
Au 0.000 0.500 0.500
Os 0.000 0.000 0.000
P 0.000 0.000 0.500
P 0.000 0.500 0.000

Entry 23:
Here is a relaxed POsAu3 crystal from Alexandria via LeMat-Bulk. Energies are from GGA-PBEsol.

Output
ΔE_f   9.1 eV/f.u.
Energy relative to the lowest polymorph listed for this composition   2.93 eV per formula unit
Magnetization   0.0 μB/f.u.

Cell lengths 4.887, 4.887, 4.887 Å; angles 90.00, 90.00, 90.00 degrees
Atoms (fractional coordinates):
Os 0.000 0.000 0.000
Au 0.000 0.500 0.000
Au 0.000 0.000 0.500
Au 0.500 0.000 0.000
P 0.500 0.500 0.500

Entry 24:
Here is a relaxed POs2Au crystal from Alexandria via LeMat-Bulk. Energies are from GGA-PBEsol.

Output
ΔE_f   1.8 eV/f.u.
Magnetization   0.0 μB/f.u.

Cell lengths 2.811, 2.809, 8.588 Å; angles 90.00, 90.00, 120.01 degrees
Atoms (fractional coordinates):
Au 0.500 0.000 0.000
Os 0.000 0.000 0.710
Os 0.000 0.000 0.290
P 0.500 0.000 0.500

Entry 25:
Here is a relaxed P2OsAu crystal from Alexandria via LeMat-Bulk. Energies are from GGA-PBEsol.

Output
ΔE_f   1.3 eV/f.u.
Energy relative to the lowest polymorph listed for this composition   0.88 eV per formula unit
Magnetization   0.0 μB/f.u.

Cell lengths 2.865, 2.865, 7.447 Å; angles 90.00, 90.00, 90.00 degrees
Atoms (fractional coordinates):
Au 0.000 0.000 0.502
Os 0.500 0.500 0.786
P 0.000 0.000 0.953
P 0.500 0.500 0.259

Entry 26:
Here is a relaxed POsAu2 crystal from Alexandria via LeMat-Bulk. Energies are from GGA-PBEsol.

Output
ΔE_f   2.7 eV/f.u.
Magnetization   0.0 μB/f.u.

Cell lengths 2.680, 4.036, 5.766 Å; angles 90.00, 90.00, 90.00 degrees
Atoms (fractional coordinates):
Au 0.000 0.000 0.750
Au 0.000 0.000 0.250
Os 0.500 0.500 0.000
P 0.500 0.500 0.500

Entry 27:
Here is a relaxed P2OsAu crystal from Alexandria via LeMat-Bulk. Energies are from GGA-PBEsol.

Output
ΔE_f   0.4 eV/f.u.
Energy relative to the lowest polymorph listed for this composition   0.00 eV per formula unit
Magnetization   0.0 μB/f.u.

Cell lengths 5.483, 5.483, 6.417 Å; angles 115.29, 115.29, 90.00 degrees
Atoms (fractional coordinates):
Os 0.750 0.250 0.500
Os 0.500 0.500 0.000
Au 0.250 0.750 0.500
Au 0.000 0.000 0.000
P 0.403 0.875 0.250
P 0.847 0.375 0.250
P 0.125 0.153 0.750
P 0.625 0.597 0.750

Entry 28:
Here is a relaxed P4OsAu crystal from Alexandria via LeMat-Bulk. Energies are from GGA-PBEsol.

Output
ΔE_f   5.9 eV/f.u.
Magnetization   0.0 μB/f.u.

Cell lengths 4.955, 4.955, 4.955 Å; angles 60.00, 60.00, 60.00 degrees
Atoms (fractional coordinates):
Au 0.250 0.250 0.250
Os 0.000 0.000 0.000
P 0.624 0.624 0.128
P 0.128 0.624 0.624
P 0.624 0.128 0.624
P 0.624 0.624 0.624

Entry 29:
Here is a relaxed OsPb2Au crystal from Alexandria via LeMat-Bulk. Energies are from GGA-PBEsol.

Output
ΔE_f   2.6 eV/f.u.
Energy relative to the lowest polymorph listed for this composition   0.00 eV per formula unit
Magnetization   0.0 μB/f.u.

Cell lengths 3.293, 3.293, 9.004 Å; angles 79.46, 79.46, 60.00 degrees
Atoms (fractional coordinates):
Au 0.500 0.500 0.500
Os 0.000 0.000 0.000
Pb 0.255 0.255 0.236
Pb 0.745 0.745 0.764

Entry 30:
Here is a relaxed OsPb2Au crystal from Alexandria via LeMat-Bulk. Energies are from GGA-PBEsol.

Output
ΔE_f   2.9 eV/f.u.
Energy relative to the lowest polymorph listed for this composition   0.31 eV per formula unit
Magnetization   0.0 μB/f.u.

Cell lengths 3.216, 5.006, 5.006 Å; angles 89.97, 90.14, 90.14 degrees
Atoms (fractional coordinates):
Au 0.500 0.000 0.000
Os 0.500 0.500 0.500
Pb 0.000 0.000 0.500
Pb 0.000 0.500 0.000